A plane-wave DFT calculation with PBE+U was carried out for crystalline ErWBrO4 at its relaxed geometry.

Cell lengths 7.008, 7.306, 10.943 Å; angles 74.73, 72.12, 84.76 degrees
Fractional coordinates of all 28 atoms:
Er  0.061  0.094  0.270
Er  0.393  0.668  0.235
Er  0.607  0.332  0.765
Er  0.939  0.906  0.730
W  0.132  0.419  0.623
W  0.412  0.815  0.867
W  0.588  0.185  0.133
W  0.868  0.581  0.377
Br  0.209  0.269  0.989
Br  0.249  0.038  0.484
Br  0.751  0.962  0.516
Br  0.791  0.731  0.011
O  0.032  0.615  0.696
O  0.053  0.779  0.289
O  0.206  0.510  0.442
O  0.206  0.890  0.799
O  0.312  0.741  0.045
O  0.361  0.352  0.667
O  0.402  0.990  0.196
O  0.461  0.381  0.198
O  0.539  0.619  0.802
O  0.598  0.010  0.804
O  0.639  0.648  0.333
O  0.688  0.259  0.955
O  0.794  0.110  0.201
O  0.794  0.490  0.558
O  0.947  0.221  0.711
O  0.968  0.385  0.304

ΔE to the lowest computed polymorph: 0.000 eV per formula unit
DOS(E_F): 0.0000 states/eV per atom
total moment: 0.00 μB/f.u.